1.
# SrPm5Ge2, relaxed, DFT PBE
data_SrPm5Ge2
_symmetry_space_group_name_H-M 'P 1'
_symmetry_Int_Tables_number 1
_symmetry_space_group_name_Hall 'P 1'
_cell_length_a 7.799
_cell_length_b 7.799
_cell_length_c 7.799
_cell_angle_alpha 145.35
_cell_angle_beta 104.84
_cell_angle_gamma 85.48
loop_
_atom_site_label
_atom_site_type_symbol
_atom_site_fract_x
_atom_site_fract_y
_atom_site_fract_z
_atom_site_occupancy
Sr1 Sr 0.000 0.000 0.000 1
Pm1 Pm 0.152 0.339 0.813 1
Pm2 Pm 0.474 0.661 0.813 1
Pm3 Pm 0.500 0.000 0.500 1
Pm4 Pm 0.526 0.339 0.187 1
Pm5 Pm 0.848 0.661 0.187 1
Ge1 Ge 0.227 0.727 0.500 1
Ge2 Ge 0.773 0.273 0.500 1
# - Symmetry: Immm (71)
# - VASP energy: -4.653 eV per atom

=====

2.
# CaLa12Tl4O3, relaxed, DFT PBE
data_CaLa12Tl4O3
_symmetry_space_group_name_H-M 'P 1'
_symmetry_Int_Tables_number 1
_symmetry_space_group_name_Hall 'P 1'
_cell_length_a 8.973
_cell_length_b 8.973
_cell_length_c 8.973
_cell_angle_alpha 109.47
_cell_angle_beta 109.47
_cell_angle_gamma 109.47
loop_
_atom_site_label
_atom_site_type_symbol
_atom_site_fract_x
_atom_site_fract_y
_atom_site_fract_z
_atom_site_occupancy
Ca1 Ca 0.000 0.000 0.000 1
La1 La 0.000 0.267 0.267 1
La2 La 0.000 0.733 0.733 1
La3 La 0.250 0.500 0.750 1
La4 La 0.250 0.750 0.500 1
La5 La 0.267 0.000 0.267 1
La6 La 0.267 0.267 0.000 1
La7 La 0.500 0.250 0.750 1
La8 La 0.500 0.750 0.250 1
La9 La 0.733 0.000 0.733 1
La10 La 0.733 0.733 0.000 1
La11 La 0.750 0.250 0.500 1
La12 La 0.750 0.500 0.250 1
Tl1 Tl 0.000 0.000 0.500 1
Tl2 Tl 0.000 0.500 0.000 1
Tl3 Tl 0.500 0.000 0.000 1
Tl4 Tl 0.500 0.500 0.500 1
O1 O 0.000 0.500 0.500 1
O2 O 0.500 0.000 0.500 1
O3 O 0.500 0.500 0.000 1
# - Symmetry: Im-3m (229)
# - ΔE_f (raw): -0.826 eV/atom

=====

3.
# NaAgF2, relaxed, DFT PBE
data_NaAgF2
_symmetry_space_group_name_H-M 'P 1'
_symmetry_Int_Tables_number 1
_symmetry_space_group_name_Hall 'P 1'
_cell_length_a 4.222
_cell_length_b 4.222
_cell_length_c 4.222
_cell_angle_alpha 60.00
_cell_angle_beta 60.00
_cell_angle_gamma 60.00
loop_
_atom_site_label
_atom_site_type_symbol
_atom_site_fract_x
_atom_site_fract_y
_atom_site_fract_z
_atom_site_occupancy
Na1 Na 0.000 0.000 0.000 1
Ag1 Ag 0.500 0.500 0.500 1
F1 F 0.250 0.250 0.250 1
F2 F 0.750 0.750 0.750 1
# - Symmetry: Fm-3m (225)
# - ΔE_f (raw): -1.698 eV/atom